Material: AlCr2CdO6
Method: DFT, GGA+U
State: optimized geometry

Unit cell a=5.1079 b=5.1468 c=5.4868 alpha=62.52 beta=62.90 gamma=59.63
Closest atoms and distances in Å follow each position.
Positions (direct):
Al: 0.3163 0.3181 0.0459  6 O 1.90-1.98
Cr: 0.5223 0.5162 0.4418  6 O 2.01-2.10
Cr: 0.0191 0.0046 0.9689  6 O 1.87-2.06
Cd: 0.7932 0.7967 0.6120  3 O 2.16-2.20
O: 0.6031 0.2478 0.2220  1 Al 1.91, 2 Cr 2.01-2.06
O: 0.2467 0.9307 0.2178  1 Al 1.92, 2 Cr 1.97-2.04
O: 0.9277 0.6014 0.2220  1 Al 1.90, 2 Cr 2.02-2.05
O: 0.3492 0.7248 0.7628  1 Cr 1.87, 1 Al 1.98
O: 0.7223 0.1612 0.7628  2 Cr 1.93-2.07, 1 Al 1.97
O: 0.1618 0.3600 0.7592  1 Al 1.95, 2 Cr 1.96-2.09, 1 Cd 2.16

Values from the calculation:
- Total energy: -67.976 eV/cell
- Mass density: 5.3 g cm⁻³
- SG: No. 1
- Volume: 105.7 Å³/cell